Entry from Alexandria via LeMat-Bulk: a geometry-optimized Li3LaSn2 structure (PBE).

The calculation puts the energy of formation from the pure elements at -0.504 eV per atom. Its electronic total energy is -3.6164 eV/atom.

It has space group C2/m (No. 12), with a = 16.015 Å, b = 4.631 Å, c = 8.511 Å, α = 90.00°, β = 116.14° and γ = 90.00°. The asymmetric unit holds Li at (0.038, 0.000, 0.372), Li at (0.098, 0.500, 0.679), Li at (0.194, 0.500, 0.477), La at (0.148, 0.000, 0.060), Sn at (0.026, 0.500, 0.180) and Sn at (0.194, 0.000, 0.709).


Entry from Alexandria via LeMat-Bulk: a geometry-optimized HfPOF2 structure (PBE).

Its formation energy without anion corrections is -1.967 eV/atom. Its electronic total energy is -6.7795 eV/atom.

It has space group P4/mmm (No. 123), with a = 4.310 Å, b = 4.310 Å, c = 4.033 Å, α = 90.00°, β = 90.00° and γ = 90.00°. The asymmetric unit holds Hf at (0.000, 0.000, 0.000), P at (0.500, 0.500, 0.500), O at (0.000, 0.000, 0.500) and F at (0.000, 0.500, 0.000).


Entry from Alexandria via LeMat-Bulk: a geometry-optimized Li3UTi2S6 structure (PBE).

Its formation energy without anion corrections is -1.389 eV/atom. Its electronic total energy is -6.1876 eV/atom.

It has space group C2/m (No. 12), with a = 6.318 Å, b = 10.944 Å, c = 6.509 Å, α = 90.00°, β = 108.94° and γ = 90.00°. The asymmetric unit holds Li at (0.000, 0.000, 0.000), Li at (0.000, 0.335, 0.000), U at (0.000, 0.500, 0.500), Ti at (0.000, 0.167, 0.500), S at (0.229, 0.000, 0.743) and S at (0.243, 0.176, 0.258).


Entry from Alexandria via LeMat-Bulk: a geometry-optimized Zn2HgGeIr structure (PBE).

The calculation puts the energy of formation from the pure elements at 0.020 eV per atom. Its electronic total energy is -3.2461 eV/atom.

It has space group P4/mmm (No. 123), with a = 4.956 Å, b = 4.956 Å, c = 4.676 Å, α = 90.00°, β = 90.00° and γ = 90.00°. The asymmetric unit holds Zn at (0.000, 0.500, 0.000), Hg at (0.000, 0.000, 0.500), Ge at (0.500, 0.500, 0.500) and Ir at (0.500, 0.500, 0.000).


Entry from Alexandria via LeMat-Bulk: a geometry-optimized Ho2ScGeC structure (PBE).

The calculation puts the energy of formation from the pure elements at -0.608 eV per atom. Its electronic total energy is -6.4733 eV/atom.

It has space group P4/mmm (No. 123), with a = 4.790 Å, b = 4.790 Å, c = 4.478 Å, α = 90.00°, β = 90.00° and γ = 90.00°. The asymmetric unit holds Ho at (0.000, 0.500, 0.000), Sc at (0.000, 0.000, 0.500), Ge at (0.500, 0.500, 0.500) and C at (0.000, 0.000, 0.000).


Entry from Alexandria via LeMat-Bulk: a geometry-optimized Ca2YOs structure (PBE).

The calculation puts the energy of formation from the pure elements at 0.363 eV per atom. Its electronic total energy is -5.0609 eV/atom.

It has space group P4/mmm (No. 123), with a = 4.380 Å, b = 4.380 Å, c = 5.187 Å, α = 90.00°, β = 90.00° and γ = 90.00°. The asymmetric unit holds Ca at (0.000, 0.500, 0.000), Y at (0.000, 0.000, 0.500) and Os at (0.500, 0.500, 0.500).


Entry from Alexandria via LeMat-Bulk: a geometry-optimized K3Dy2ScSe6 structure (PBE).

Its formation energy without anion corrections is -1.712 eV/atom. Its electronic total energy is -5.0230 eV/atom.

It has space group C2/m (No. 12), with a = 7.183 Å, b = 12.444 Å, c = 8.026 Å, α = 90.00°, β = 107.37° and γ = 90.00°. The asymmetric unit holds K at (0.000, 0.000, 0.000), K at (0.000, 0.331, 0.000), Dy at (0.000, 0.166, 0.500), Sc at (0.000, 0.500, 0.500), Se at (0.228, 0.339, 0.702) and Se at (0.246, 0.000, 0.702).


Entry from Alexandria via LeMat-Bulk: a geometry-optimized La3Pm3Ho structure (PBE).

The calculation puts the energy of formation from the pure elements at 0.225 eV per atom. Its electronic total energy is -4.5772 eV/atom.

It has space group R-3 (No. 148, hexagonal axes), with a = 8.8827 Å, b = 8.8827 Å, c = 22.0063 Å, α = 90.00°, β = 90.00° and γ = 120.00°. The asymmetric unit holds La at (0.0027, 0.7557, 0.0572), Pm at (0.0533, 0.6046, 0.8808) and Ho at (0.0000, 0.0000, 0.3493).


Entry from Alexandria via LeMat-Bulk: a geometry-optimized AcTl2GeO4 structure (PBE).

Its formation energy without anion corrections is -1.753 eV/atom. Its electronic total energy is -5.9146 eV/atom.

It has space group Pmn2_1 (No. 31), with a = 7.174 Å, b = 9.686 Å, c = 4.965 Å, α = 90.00°, β = 90.00° and γ = 90.00°. The asymmetric unit holds Ac at (0.000, 0.103, 0.000), Tl at (0.235, 0.623, 0.975), Ge at (0.000, 0.843, 0.435), O at (0.000, 0.025, 0.520), O at (0.000, 0.853, 0.076) and O at (0.212, 0.764, 0.534).


Entry from Alexandria via LeMat-Bulk: a geometry-optimized RbTe2 structure (PBE).

Its formation energy without anion corrections is -0.590 eV/atom. Its electronic total energy is -3.0070 eV/atom.

It has space group I4/mmm (No. 139), with a = 4.532 Å, b = 4.532 Å, c = 12.023 Å, α = 90.00°, β = 90.00° and γ = 90.00°. The asymmetric unit holds Rb at (0.000, 0.000, 0.000) and Te at (0.000, 0.500, 0.250).


Entry from Alexandria via LeMat-Bulk: a geometry-optimized LaZn9Pt2 structure (PBE).

The calculation puts the energy of formation from the pure elements at -0.307 eV per atom. Its electronic total energy is -2.6803 eV/atom.

It has space group P6/mmm (No. 191), with a = 8.4667 Å, b = 8.4667 Å, c = 3.4982 Å, α = 90.00°, β = 90.00° and γ = 120.00°. The asymmetric unit holds La at (0.0000, 0.0000, 0.0000), Zn at (0.0000, 0.5000, 0.0000), Zn at (0.1932, 0.3864, 0.5000) and Pt at (0.3333, 0.6667, 0.0000).


Entry from Alexandria via LeMat-Bulk: a geometry-optimized LiVSb structure (PBE).

Its formation energy without anion corrections is 0.118 eV/atom. Its electronic total energy is -4.9334 eV/atom.

It has space group F-43m (No. 216), with a = 6.384 Å, b = 6.384 Å, c = 6.384 Å, α = 90.00°, β = 90.00° and γ = 90.00°. The asymmetric unit holds Li at (0.000, 0.000, 0.000), V at (0.250, 0.250, 0.750) and Sb at (0.000, 0.000, 0.500).